No. 1
# Er2ScCd5 PBE relaxed
data_Er2ScCd5
_chemical_formula_sum 'Er4 Sc2 Cd10'
_symmetry_space_group_name_H-M 'I 4/m m m'
_symmetry_Int_Tables_number 139
_symmetry_space_group_name_Hall '-I 4 2'
_cell_length_a 5.016
_cell_length_b 5.016
_cell_length_c 14.856
_cell_angle_alpha 90.00
_cell_angle_beta 90.00
_cell_angle_gamma 90.00
loop_
_atom_site_label
_atom_site_type_symbol
_atom_site_fract_x
_atom_site_fract_y
_atom_site_fract_z
Er1 Er 0.000 0.000 0.242
Sc1 Sc 0.000 0.000 0.500
Cd1 Cd 0.000 0.000 0.000
Cd2 Cd 0.000 0.500 0.116
# total DFT energy (no corrections) = -22.16 eV per formula unit

No. 2
# Er4ScCd2 PBE relaxed
data_Er4ScCd2
_chemical_formula_sum 'Er12 Sc3 Cd6'
_symmetry_space_group_name_H-M 'R -3 m'
_symmetry_Int_Tables_number 166
_symmetry_space_group_name_Hall '-R 3 2"'
_cell_length_a 5.3674
_cell_length_b 5.3674
_cell_length_c 25.1964
_cell_angle_alpha 90.00
_cell_angle_beta 90.00
_cell_angle_gamma 120.00
loop_
_atom_site_label
_atom_site_type_symbol
_atom_site_fract_x
_atom_site_fract_y
_atom_site_fract_z
Er1 Er 0.0000 0.0000 0.1306
Er2 Er 0.0000 0.0000 0.2631
Sc1 Sc 0.0000 0.0000 0.5000
Cd1 Cd 0.0000 0.0000 0.3845
# total DFT energy (no corrections) = -25.55 eV per formula unit

Number 1: formation energy -0.266 eV per atom. Number 2: formation energy 0.123 eV per atom.